Entry 1:
PrNd6Dy12 PBE optimized geometry; SG = R-3m (166); formation enthalpy at 0 K = 0.21 eV per atom; polymorph energy (0 for the lowest one) = 96 meV per atom
1.0
6.662 3.846 4.226
-6.662 3.846 4.226
0.000 -7.693 4.226
Pr Nd Dy
1 6 12
Direct
0.000 0.000 0.000
0.099 0.099 0.655
0.099 0.655 0.099
0.345 0.901 0.901
0.655 0.099 0.099
0.901 0.345 0.901
0.901 0.901 0.345
0.081 0.356 0.356
0.243 0.500 0.757
0.243 0.757 0.500
0.356 0.081 0.356
0.356 0.356 0.081
0.500 0.243 0.757
0.500 0.757 0.243
0.644 0.644 0.919
0.644 0.919 0.644
0.757 0.243 0.500
0.757 0.500 0.243
0.919 0.644 0.644

---

Entry 2:
Pr3Nd5Dy4 PBE optimized geometry; SG = P-1 (2); formation enthalpy at 0 K = 0.01 eV per atom; polymorph energy (0 for the lowest one) = 0 meV per atom
1.0
6.317 0.000 0.000
0.000 7.278 0.000
0.006 0.015 8.925
Pr Nd Dy
3 5 4
Direct
0.000 0.000 0.000
0.166 0.748 0.336
0.834 0.252 0.664
0.000 0.500 0.000
0.333 0.000 0.665
0.499 0.253 0.001
0.501 0.747 0.999
0.667 0.000 0.335
0.168 0.253 0.335
0.334 0.500 0.665
0.666 0.500 0.335
0.832 0.747 0.665

---

Entry 3:
Pr5Nd7Dy PBE optimized geometry; SG = Imm2 (44); formation enthalpy at 0 K = 0.23 eV per atom
1.0
-3.463 5.644 6.019
3.463 -5.644 6.019
3.463 5.644 -6.019
Pr Nd Dy
5 7 1
Direct
0.000 0.000 0.000
0.178 0.228 0.498
0.178 0.681 0.950
0.731 0.228 0.050
0.731 0.681 0.502
0.031 0.214 0.817
0.161 0.661 0.500
0.397 0.214 0.183
0.466 0.966 0.500
0.474 0.474 0.000
0.550 0.717 0.832
0.885 0.717 0.168
0.769 0.269 0.500

---

Entry 4:
Pr3Nd6Dy2 PBE optimized geometry; SG = I4/mmm (139); formation enthalpy at 0 K = 0.27 eV per atom; polymorph energy (0 for the lowest one) = 252 meV per atom
1.0
-2.436 2.436 16.937
2.436 -2.436 16.937
2.436 2.436 -16.937
Pr Nd Dy
3 6 2
Direct
0.000 0.000 0.000
0.202 0.202 0.000
0.798 0.798 0.000
0.119 0.619 0.500
0.305 0.305 0.000
0.381 0.881 0.500
0.619 0.119 0.500
0.695 0.695 0.000
0.881 0.381 0.500
0.455 0.455 0.000
0.545 0.545 0.000

---

Entry 5:
Pr3Nd2Dy4 PBE optimized geometry; SG = C2/m (12); formation enthalpy at 0 K = 0.09 eV per atom
1.0
8.640 -2.869 0.000
8.640 2.869 0.000
-2.410 0.000 6.214
Pr Nd Dy
3 2 4
Direct
0.000 0.000 0.000
0.135 0.135 0.583
0.865 0.865 0.417
0.363 0.363 0.702
0.637 0.637 0.298
0.222 0.222 0.143
0.429 0.429 0.244
0.571 0.571 0.756
0.778 0.778 0.857

---

Entry 6:
Pr5Nd2Dy PBE optimized geometry; SG = C2/c (15); formation enthalpy at 0 K = 0.20 eV per atom; polymorph energy (0 for the lowest one) = 190 meV per atom
1.0
3.188 -14.437 0.000
3.188 14.437 0.000
-2.328 0.000 6.298
Pr Nd Dy
10 4 2
Direct
0.070 0.452 0.506
0.096 0.904 0.750
0.190 0.410 0.914
0.410 0.190 0.414
0.452 0.070 0.006
0.548 0.930 0.994
0.590 0.810 0.586
0.810 0.590 0.086
0.904 0.096 0.250
0.930 0.548 0.494
0.000 0.000 0.000
0.000 0.000 0.500
0.000 0.500 0.000
0.500 0.000 0.500
0.489 0.511 0.250
0.511 0.489 0.750

---

Entry 7:
Pr4Nd2Dy PBE optimized geometry; SG = R-3m (166); formation enthalpy at 0 K = 0.01 eV per atom; polymorph energy (0 for the lowest one) = 0 meV per atom
1.0
1.842 1.064 20.970
-1.842 1.064 20.970
0.000 -2.127 20.970
Pr Nd Dy
4 2 1
Direct
0.143 0.143 0.143
0.287 0.287 0.287
0.713 0.713 0.713
0.857 0.857 0.857
0.428 0.428 0.428
0.572 0.572 0.572
0.000 0.000 0.000

---

Entry 8:
PrNd3Dy5 PBE optimized geometry; SG = C2/c (15); formation enthalpy at 0 K = 0.28 eV per atom; polymorph energy (0 for the lowest one) = 264 meV per atom
1.0
9.286 -3.188 0.000
9.286 3.188 0.000
-4.296 0.000 10.626
Pr Nd Dy
2 6 10
Direct
0.089 0.911 0.750
0.911 0.089 0.250
0.139 0.520 0.629
0.480 0.861 0.871
0.500 0.500 0.000
0.500 0.500 0.500
0.520 0.139 0.129
0.861 0.480 0.371
0.039 0.637 0.982
0.048 0.614 0.290
0.363 0.961 0.518
0.383 0.617 0.250
0.386 0.952 0.210
0.614 0.048 0.790
0.617 0.383 0.750
0.637 0.039 0.482
0.952 0.386 0.710
0.961 0.363 0.018

---

Entry 9:
Pr2NdDy PBE optimized geometry; SG = I-4m2 (119); formation enthalpy at 0 K = 0.02 eV per atom; polymorph energy (0 for the lowest one) = 1 meV per atom
1.0
5.190 0.000 0.000
0.000 5.190 0.000
0.000 0.000 10.344
Pr Nd Dy
4 2 2
Direct
0.000 0.000 0.000
0.000 0.500 0.250
0.500 0.000 0.750
0.500 0.500 0.500
0.000 0.500 0.750
0.500 0.000 0.250
0.000 0.000 0.500
0.500 0.500 0.000

---

Entry 10:
Pr5Nd2Dy3 PBE optimized geometry; SG = C2/c (15); formation enthalpy at 0 K = 0.18 eV per atom; polymorph energy (0 for the lowest one) = 0 meV per atom
1.0
5.506 -7.544 0.000
5.506 7.544 0.000
-5.480 0.000 8.465
Pr Nd Dy
10 4 6
Direct
0.026 0.974 0.750
0.120 0.363 0.737
0.233 0.767 0.750
0.272 0.728 0.250
0.363 0.120 0.237
0.637 0.880 0.763
0.728 0.272 0.750
0.767 0.233 0.250
0.880 0.637 0.263
0.974 0.026 0.250
0.227 0.471 0.442
0.471 0.227 0.942
0.529 0.773 0.058
0.773 0.529 0.558
0.033 0.281 0.053
0.281 0.033 0.553
0.480 0.520 0.250
0.520 0.480 0.750
0.719 0.967 0.447
0.967 0.719 0.947

---

> formation enthalpy at 0 K of number 8 (PrNd3Dy5)?

0.28 eV per atom

---

> What is the formula in the eighth record?

PrNd3Dy5